# 1
! CdI2NCl (PBE, optimized geometry); values from VASP
! Total magnetic moment = 0.00 μB per atom
! Uncorrected formation energy = 884.8 meV/atom
! Electronic total energy = -1.95 eV per atom
! N(E_F) = 0.86 states/eV/f.u.
&SYSTEM
  ibrav = 0, nat = 5, ntyp = 4
/
ATOMIC_SPECIES
Cd 112.41 Cd.upf
I 126.90 I.upf
N 14.01 N.upf
Cl 35.45 Cl.upf
CELL_PARAMETERS angstrom
7.5409 0.0000 0.0000
0.0000 7.5409 0.0000
0.0000 0.0000 3.2891
ATOMIC_POSITIONS crystal
Cd 0.0000 0.0000 0.0000
I 0.0000 0.5000 0.5000
I 0.5000 0.0000 0.5000
N 0.5000 0.5000 0.0000
Cl 0.5000 0.5000 0.5000

---

# 2
! KCoPb2Se (PBE, optimized geometry); values from VASP
! Total magnetic moment = 0.00 μB per atom
! Uncorrected formation energy = 1433.7 meV/atom
! Electronic total energy = -2.39 eV per atom
! N(E_F) = 2.81 states/eV/f.u.
&SYSTEM
  ibrav = 0, nat = 5, ntyp = 4
/
ATOMIC_SPECIES
K 39.10 K.upf
Co 58.93 Co.upf
Pb 207.20 Pb.upf
Se 78.96 Se.upf
CELL_PARAMETERS angstrom
5.9754 0.0000 0.0000
0.0000 5.9754 0.0000
0.0000 0.0000 4.3357
ATOMIC_POSITIONS crystal
K 0.0000 0.0000 0.0000
Co 0.0000 0.0000 0.5000
Pb 0.0000 0.5000 0.0000
Pb 0.5000 0.0000 0.0000
Se 0.5000 0.5000 0.5000

---

# 3
! TbNdEr4 (PBE, optimized geometry); values from VASP
! Formation enthalpy at 0 K = 0.4 kcal/mol of atoms
! Total magnetic moment = 0.00 μB per atom
! Electronic total energy = -4.59 eV per atom
! N(E_F) = 7.54 states/eV/f.u.
&SYSTEM
  ibrav = 0, nat = 6, ntyp = 3
/
ATOMIC_SPECIES
Tb 158.93 Tb.upf
Nd 144.24 Nd.upf
Er 167.26 Er.upf
CELL_PARAMETERS angstrom
3.5501 0.0000 0.0000
1.7651 5.8688 0.0000
1.7642 1.6109 9.0463
ATOMIC_POSITIONS crystal
Tb 0.0000 0.0000 0.0000
Nd 0.0000 0.5000 0.5000
Er 0.3324 0.0023 0.3320
Er 0.3318 0.5004 0.8356
Er 0.6682 0.4996 0.1644
Er 0.6676 0.9977 0.6680

---

# 4
! Si2Se (PBE, optimized geometry); values from VASP
! Total magnetic moment = 0.00 μB per atom
! Uncorrected formation energy = 302.5 meV/atom
! Electronic total energy = -4.47 eV per atom
! N(E_F) = 0.91 states/eV/f.u.
&SYSTEM
  ibrav = 0, nat = 3, ntyp = 2
/
ATOMIC_SPECIES
Si 28.09 Si.upf
Se 78.96 Se.upf
CELL_PARAMETERS angstrom
-1.7721 1.7721 5.0061
1.7721 -1.7721 5.0061
1.7721 1.7721 -5.0061
ATOMIC_POSITIONS crystal
Si 0.2336 0.2336 0.0000
Si 0.7664 0.7664 0.0000
Se 0.0000 0.0000 0.0000

---

# 5
! BeNi2PtI (PBE, optimized geometry); values from VASP
! Total magnetic moment = 0.44 μB per atom
! Uncorrected formation energy = 1358.1 meV/atom
! Electronic total energy = -3.22 eV per atom
! N(E_F) = 6.78 states/eV/f.u.
&SYSTEM
  ibrav = 0, nat = 5, ntyp = 4
/
ATOMIC_SPECIES
Be 9.01 Be.upf
Ni 58.69 Ni.upf
Pt 195.08 Pt.upf
I 126.90 I.upf
CELL_PARAMETERS angstrom
4.6600 0.0000 0.0000
0.0000 4.6600 0.0000
0.0000 0.0000 5.3694
ATOMIC_POSITIONS crystal
Be 0.0000 0.0000 0.0000
Ni 0.0000 0.5000 0.5000
Ni 0.5000 0.0000 0.5000
Pt 0.5000 0.5000 0.5000
I 0.5000 0.5000 0.0000

---

# 6
! TaTcRh2 (PBE, optimized geometry); values from VASP
! Formation enthalpy at 0 K = -7.9 kcal/mol of atoms
! Total magnetic moment = 0.00 μB per atom
! Electronic total energy = -9.57 eV per atom
! N(E_F) = 2.19 states/eV/f.u.
&SYSTEM
  ibrav = 0, nat = 4, ntyp = 3
/
ATOMIC_SPECIES
Ta 180.95 Ta.upf
Tc 98.00 Tc.upf
Rh 102.91 Rh.upf
CELL_PARAMETERS angstrom
2.7657 -3.9100 0.0000
2.7657 3.9100 0.0000
0.0000 0.0000 2.7827
ATOMIC_POSITIONS crystal
Ta 0.0000 0.0000 0.0000
Tc 0.5000 0.5000 0.0000
Rh 0.0000 0.5000 0.5000
Rh 0.5000 0.0000 0.5000

---

# 7
! RbGe2TeW (PBE, optimized geometry); values from VASP
! Total magnetic moment = 0.49 μB per atom
! Uncorrected formation energy = 2556.1 meV/atom
! Electronic total energy = -2.70 eV per atom
! N(E_F) = 4.09 states/eV/f.u.
&SYSTEM
  ibrav = 0, nat = 5, ntyp = 4
/
ATOMIC_SPECIES
Rb 85.47 Rb.upf
Ge 72.64 Ge.upf
Te 127.60 Te.upf
W 183.84 W.upf
CELL_PARAMETERS angstrom
5.5249 0.0000 0.0000
0.0000 5.5249 0.0000
0.0000 0.0000 5.1979
ATOMIC_POSITIONS crystal
Rb 0.0000 0.0000 0.0000
Ge 0.0000 0.5000 0.0000
Ge 0.5000 0.0000 0.0000
Te 0.5000 0.5000 0.5000
W 0.0000 0.0000 0.5000

---

# 8
! Li4ZrNp3N8 (PBE, optimized geometry); values from VASP
! Total magnetic moment = 0.31 μB per atom
! Uncorrected formation energy = -979.0 meV/atom
! Electronic total energy = -8.58 eV per atom
! N(E_F) = 12.68 states/eV/f.u.
&SYSTEM
  ibrav = 0, nat = 16, ntyp = 4
/
ATOMIC_SPECIES
Li 6.94 Li.upf
Zr 91.22 Zr.upf
Np 237.00 Np.upf
N 14.01 N.upf
CELL_PARAMETERS angstrom
3.3869 1.9554 5.0652
-3.3869 1.9554 5.0652
0.0000 -3.9109 5.0652
ATOMIC_POSITIONS crystal
Li 0.0000 0.0000 0.0000
Li 0.0000 0.5000 0.5000
Li 0.5000 0.0000 0.5000
Li 0.5000 0.5000 0.0000
Zr 0.5000 0.5000 0.5000
Np 0.0000 0.0000 0.5000
Np 0.0000 0.5000 0.0000
Np 0.5000 0.0000 0.0000
N 0.2305 0.7398 0.7398
N 0.2367 0.2367 0.2367
N 0.2602 0.2602 0.7695
N 0.2602 0.7695 0.2602
N 0.7398 0.2305 0.7398
N 0.7398 0.7398 0.2305
N 0.7633 0.7633 0.7633
N 0.7695 0.2602 0.2602

---

# 9
! AcZn2Ag (PBE, optimized geometry); values from VASP
! Formation enthalpy at 0 K = -0.7 kcal/mol of atoms
! Total magnetic moment = 0.00 μB per atom
! Electronic total energy = -2.41 eV per atom
! N(E_F) = 2.65 states/eV/f.u.
&SYSTEM
  ibrav = 0, nat = 4, ntyp = 3
/
ATOMIC_SPECIES
Ac 227.00 Ac.upf
Zn 65.41 Zn.upf
Ag 107.87 Ag.upf
CELL_PARAMETERS angstrom
4.5456 0.0000 0.0000
0.0000 4.5456 0.0000
0.0000 0.0000 4.8659
ATOMIC_POSITIONS crystal
Ac 0.0000 0.0000 0.0000
Zn 0.0000 0.5000 0.5000
Zn 0.5000 0.0000 0.5000
Ag 0.5000 0.5000 0.0000

---

# 10
! NbAs2S (PBE, optimized geometry); values from VASP
! Total magnetic moment = 0.00 μB per atom
! Uncorrected formation energy = 417.9 meV/atom
! Electronic total energy = -5.46 eV per atom
! N(E_F) = 4.28 states/eV/f.u.
&SYSTEM
  ibrav = 0, nat = 4, ntyp = 3
/
ATOMIC_SPECIES
Nb 92.91 Nb.upf
As 74.92 As.upf
S 32.06 S.upf
CELL_PARAMETERS angstrom
0.0000 3.2652 3.2652
3.2652 0.0000 3.2652
3.2652 3.2652 0.0000
ATOMIC_POSITIONS crystal
Nb 0.0000 0.0000 0.0000
As 0.2500 0.2500 0.2500
As 0.7500 0.7500 0.7500
S 0.5000 0.5000 0.5000

---

# 11
! Tb4SnGeSe2 (PBE, optimized geometry); values from VASP
! Total magnetic moment = 0.00 μB per atom
! Uncorrected formation energy = -1329.0 meV/atom
! Electronic total energy = -5.59 eV per atom
! N(E_F) = 1.48 states/eV/f.u.
&SYSTEM
  ibrav = 0, nat = 8, ntyp = 4
/
ATOMIC_SPECIES
Tb 158.93 Tb.upf
Sn 118.71 Sn.upf
Ge 72.64 Ge.upf
Se 78.96 Se.upf
CELL_PARAMETERS angstrom
-2.9747 2.9747 5.9632
2.9747 -2.9747 5.9632
2.9747 2.9747 -5.9632
ATOMIC_POSITIONS crystal
Tb 0.2454 0.2454 0.0000
Tb 0.5043 0.0043 0.5000
Tb 0.7546 0.7546 0.0000
Tb 0.9957 0.4957 0.5000
Sn 0.5000 0.5000 0.0000
Ge 0.7500 0.2500 0.5000
Se 0.0000 0.0000 0.0000
Se 0.2500 0.7500 0.5000

---

# 12
! Zn6Ni5 (PBE, optimized geometry); values from VASP
! Formation enthalpy at 0 K = -4.6 kcal/mol of atoms
! Total magnetic moment = 0.00 μB per atom
! Electronic total energy = -3.52 eV per atom
! N(E_F) = 6.01 states/eV/f.u.
&SYSTEM
  ibrav = 0, nat = 11, ntyp = 2
/
ATOMIC_SPECIES
Zn 65.41 Zn.upf
Ni 58.69 Ni.upf
CELL_PARAMETERS angstrom
-2.0296 2.8594 6.0853
2.0296 -2.8594 6.0853
2.0296 2.8594 -6.0853
ATOMIC_POSITIONS crystal
Zn 0.0769 0.3398 0.7372
Zn 0.2280 0.0000 0.2280
Zn 0.3974 0.6602 0.7372
Zn 0.6026 0.3398 0.2628
Zn 0.7720 0.0000 0.7720
Zn 0.9231 0.6602 0.2628
Ni 0.1771 0.1771 0.0000
Ni 0.3396 0.8396 0.5000
Ni 0.5000 0.5000 0.0000
Ni 0.6604 0.1604 0.5000
Ni 0.8229 0.8229 0.0000